1.
TbPrCoPd: optimized geometry, GGA-PBE.

Output
Size of the total moment = 0.0861 μB/atom
E_form = -362 meV per atom
Symmetry = F-43m, No. 216
E_tot = -23.15 eV for the cell shown
DOS(E_F) = 3.128 states/eV/f.u.

```
TbPrCoPd
1.0
-3.3698 -1.4866 3.3336
1.4532 -1.4504 4.5236
-0.9975 2.8334 3.9566
Pr Co Tb Pd
1 1 1 1
Cartesian
-0.7285 -0.0259 2.9535
0.0000 0.0000 0.0000
-2.1856 -0.0776 8.8604
-1.4571 -0.0518 5.9069
```

=====

2.
Li6Al2Cd: optimized geometry, GGA-PBE.

Output
Relative energy among the computed polymorphs = 0.000 eV/atom
Size of the total moment = 0.0000 μB/atom
E_form = -170 meV per atom
Symmetry = C2/m, No. 12
E_tot = -21.41 eV for the cell shown
DOS(E_F) = 1.356 states/eV/f.u.

```
Li6Al2Cd
1.0
-1.6375 -2.1648 -0.3757
1.3092 -3.1120 -7.6981
4.7365 -6.7789 -1.5069
Li Al Cd
6 2 1
Cartesian
2.6532 -5.7557 -8.2689
1.7550 -6.3000 -1.3118
-0.5105 -3.8761 -5.4043
2.7562 -6.6185 -3.7930
1.6520 -5.4372 -5.7876
4.9187 -8.1796 -4.1764
1.4713 -4.0197 -3.1952
2.9369 -8.0360 -6.3854
-1.6375 -2.1648 -0.3757
```

=====

3.
Pr3Nd2Co2: optimized geometry, GGA-PBE.

Output
Size of the total moment = 0.0000 μB/atom
E_form = -36 meV per atom
Symmetry = C2/m, No. 12
E_tot = -38.34 eV for the cell shown
DOS(E_F) = 8.550 states/eV/f.u.

```
Pr3Nd2Co2
1.0
-2.7973 -0.4637 -2.5526
-2.1738 -2.3251 5.6556
-0.7304 9.1265 -0.8573
Pr Nd Co
3 2 2
Cartesian
-1.3987 -0.2318 -1.2763
-2.5344 3.0317 -0.6245
-3.1672 3.3060 2.8702
-3.8610 -0.1285 1.4033
-1.8405 6.4662 0.8424
-4.2326 5.0238 0.8746
-1.4690 1.3139 1.3712
```

=====

4.
Zn3Hg12Br5: optimized geometry, GGA-PBE.

Output
Size of the total moment = 0.0000 μB/atom
Formation energy (no corrections) = -0.063 eV/atom
Symmetry = Ia-3d, No. 230
E_tot = -68.30 eV for the cell shown
DOS(E_F) = 8.465 states/eV/f.u.

```
Zn3Hg12Br5
1.0
-12.3444 8.6507 -0.4100
-3.4448 -13.9011 -4.7201
5.2222 -0.6400 14.1318
Zn Br Hg
12 20 48
Cartesian
-9.8973 1.1951 -0.3111
-12.7322 -2.9365 -2.1324
-3.9489 -7.5818 5.1385
-1.5584 0.1850 4.6069
-9.9264 5.6717 2.5842
-5.4766 -5.6042 0.4291
-5.0904 -0.2862 8.5725
-0.6406 -11.5622 6.4174
-9.0086 -6.0755 4.3947
-6.6181 1.6914 3.8631
2.1652 -2.9540 11.1340
-0.6697 -7.0856 9.3127
-1.5293 -4.2916 1.7116
-1.7224 -6.9506 -2.3601
0.0000 0.0000 0.0000
-4.8376 -0.3113 0.4327
-3.5611 4.0053 6.8609
-7.8946 -2.6252 -2.5651
-2.1683 -9.5845 1.7081
-5.1195 4.1904 11.4678
-9.4530 -2.4402 2.0418
-1.1431 1.0264 9.8550
-9.4239 -6.9168 -0.8534
-5.2835 -2.9452 4.5008
-6.1722 4.3254 -0.2050
2.6111 -0.3200 7.0659
-1.1140 -3.4503 6.9598
-5.4475 -10.0808 -2.4662
0.8887 -7.2706 4.7058
-8.3987 3.6941 7.2936
-5.7294 -5.5792 8.5689
-9.0377 -1.5988 7.2900
-9.2871 4.6129 0.1995
-3.7285 -5.4883 3.4697
-11.3252 2.6710 1.4208
-7.3304 1.4621 0.4346
-6.7194 -5.4961 5.6754
-12.3740 0.1897 -0.5789
-4.6686 -7.8216 1.7123
-2.9862 -11.8927 -2.3317
-6.4780 -8.4543 4.8961
-10.4954 -2.2241 -0.8262
-8.7856 0.4121 2.9239
-13.0997 -6.0576 -3.6936
-1.1709 -9.6571 4.5993
-5.4828 -3.1201 -0.5936
-2.8042 -12.3983 0.6895
-2.2803 1.1272 7.0168
-0.7461 -1.4955 2.6749
-7.2294 -5.7081 -2.6092
-11.9753 -5.2321 -0.9604
-2.6618 -4.2028 -1.1289
-3.8076 -10.0822 6.1105
-6.9871 -4.2450 2.1863
-11.5438 -3.7036 3.8833
-5.7990 1.3395 10.5902
-3.5799 -1.6454 6.8153
0.9768 -2.1868 5.1183
-4.7680 -7.2300 -1.5886
1.4083 -0.6583 9.9620
-6.7594 4.1918 2.8911
-7.9052 -1.6877 10.1305
-3.3376 -0.1823 11.6108
-8.2867 -7.0176 1.9848
-9.8208 -4.3949 6.3267
-7.7628 6.5079 8.3121
-9.3961 3.7666 4.4023
2.5327 0.1672 12.6952
-5.0842 -2.7703 9.5952
-4.0890 2.5639 4.1055
-0.0716 -3.6663 9.8279
-1.7814 -6.3026 6.0777
-7.5808 6.0023 11.3333
-5.8984 1.9312 7.2893
-3.2366 -7.3526 8.5670
1.8070 -6.0801 9.5805
-3.8476 -0.3943 3.3262
0.7582 -8.5614 7.5808
-6.8385 -0.4021 5.5319
-1.2799 -10.5033 8.8021
```

=====

What did the first record say?
TbPrCoPd: optimized geometry, GGA-PBE.

Output
Size of the total moment = 0.0861 μB/atom
E_form = -362 meV per atom
Symmetry = F-43m, No. 216
E_tot = -23.15 eV for the cell shown
DOS(E_F) = 3.128 states/eV/f.u.

```
TbPrCoPd
1.0
-3.3698 -1.4866 3.3336
1.4532 -1.4504 4.5236
-0.9975 2.8334 3.9566
Pr Co Tb Pd
1 1 1 1
Cartesian
-0.7285 -0.0259 2.9535
0.0000 0.0000 0.0000
-2.1856 -0.0776 8.8604
-1.4571 -0.0518 5.9069
```

=====

> Which value of DOS(E_F) does entry 4 give?

8.465 states/eV/f.u.